(1)
# KHgP

A relaxed structure of KHgP (PBE, Alexandria via LeMat-Bulk).

Cell: 6.490 6.490 6.490 Å, 145.30 145.30 49.89°
Sites, in units of the cell vectors:
1 K 0.000 0.000 0.000
2 Hg 0.266 0.266 0.000
3 P 0.734 0.734 0.000

Summary:
Crystal system: tetragonal
Formation enthalpy at 0 K, eV per atom: 0.03
DFT total energy, hartree per atom: -0.08231
Spin magnetization, μB/atom: 0.00



(2)
# CdFeSi2

A relaxed structure of CdFeSi2 (PBE, Alexandria via LeMat-Bulk).

Cell: 4.062 4.062 3.763 Å, 90.00 90.00 90.00°
Sites, in units of the cell vectors:
1 Cd 0.000 0.000 0.000
2 Fe 0.500 0.500 0.000
3 Si 0.000 0.500 0.500
4 Si 0.500 0.000 0.500

Summary:
ΔE_f (raw), eV/atom: 0.504
Crystal system: tetragonal
DFT total energy, hartree per atom: -0.16728
Spin magnetization, μB/atom: 0.62



(3)
# KAlCo2Bi

A relaxed structure of KAlCo2Bi (PBE, Alexandria via LeMat-Bulk).

Cell: 4.977 4.977 6.308 Å, 90.00 90.00 90.00°
Sites, in units of the cell vectors:
1 K 0.000 0.000 0.000
2 Al 0.500 0.500 0.000
3 Co 0.000 0.500 0.500
4 Co 0.500 0.000 0.500
5 Bi 0.000 0.000 0.500

Summary:
Crystal system: tetragonal
Formation enthalpy at 0 K, eV per atom: 1.22
DFT total energy, hartree per atom: -0.12384
Spin magnetization, μB/atom: 0.57



(4)
# PrNdLuHg

A relaxed structure of PrNdLuHg (PBE, Alexandria via LeMat-Bulk).

Cell: 5.520 5.520 5.520 Å, 60.00 60.00 60.00°
Sites, in units of the cell vectors:
1 Pr 0.000 0.000 0.000
2 Nd 0.500 0.500 0.500
3 Lu 0.750 0.750 0.750
4 Hg 0.250 0.250 0.250

Summary:
Crystal system: cubic
Formation enthalpy at 0 K, eV per atom: -0.09
DFT total energy, hartree per atom: -0.13542
Spin magnetization, μB/atom: 0.00



(5)
# HgIr2Ru

A relaxed structure of HgIr2Ru (PBE, Alexandria via LeMat-Bulk).

Cell: 4.871 4.871 4.871 Å, 131.86 131.86 70.45°
Sites, in units of the cell vectors:
1 Hg 0.000 0.000 0.000
2 Ir 0.250 0.750 0.500
3 Ir 0.500 0.500 0.000
4 Ru 0.750 0.250 0.500

Summary:
Crystal system: tetragonal
Formation enthalpy at 0 K, eV per atom: 0.48
DFT total energy, hartree per atom: -0.23306
Spin magnetization, μB/atom: 0.00



(6)
# Ce2BeGe3

A relaxed structure of Ce2BeGe3 (PBE, Alexandria via LeMat-Bulk).

Cell: 4.051 4.258 7.123 Å, 90.00 90.00 90.00°
Sites, in units of the cell vectors:
1 Ce 0.000 0.000 0.000
2 Ce 0.500 0.000 0.497
3 Be 0.000 0.500 0.676
4 Ge 0.000 0.500 0.364
5 Ge 0.500 0.500 0.159
6 Ge 0.500 0.500 0.806

Summary:
Crystal system: orthorhombic
Formation enthalpy at 0 K, eV per atom: -0.59
DFT total energy, hartree per atom: -0.20193
Distance to the lowest polymorph of the same formula, meV per atom: 19
Spin magnetization, μB/atom: 0.21



(7)
# PmEu2Er

A relaxed structure of PmEu2Er (PBE, Alexandria via LeMat-Bulk).

Cell: 13.127 13.127 13.127 Å, 15.71 15.71 15.71°
Sites, in units of the cell vectors:
1 Pm 0.000 0.000 0.000
2 Eu 0.414 0.414 0.414
3 Eu 0.586 0.586 0.586
4 Er 0.500 0.500 0.500

Summary:
Crystal system: trigonal
Formation enthalpy at 0 K, eV per atom: 0.23
DFT total energy, hartree per atom: -0.26576
Distance to the lowest polymorph of the same formula, meV per atom: 123
Spin magnetization, μB/atom: 3.81



(8)
# TiNb2H3

A relaxed structure of TiNb2H3 (PBE, Alexandria via LeMat-Bulk).

Cell: 5.115 5.115 5.216 Å, 90.00 90.00 68.29°
Sites, in units of the cell vectors:
1 Ti 0.140 0.860 0.500
2 Ti 0.860 0.140 0.000
3 Nb 0.198 0.479 0.007
4 Nb 0.479 0.198 0.507
5 Nb 0.521 0.802 0.007
6 Nb 0.802 0.521 0.507
7 H 0.159 0.507 0.373
8 H 0.165 0.835 0.858
9 H 0.493 0.841 0.373
10 H 0.507 0.159 0.873
11 H 0.835 0.165 0.358
12 H 0.841 0.493 0.873

Summary:
Crystal system: orthorhombic
DFT total energy, hartree per atom: -0.23873
Spin magnetization, μB/atom: 0.00



(9)
# Hf12FeGe6

A relaxed structure of Hf12FeGe6 (PBE, Alexandria via LeMat-Bulk).

Cell: 7.574 7.574 7.574 Å, 100.19 100.19 100.19°
Sites, in units of the cell vectors:
1 Hf 0.019 0.683 0.942
2 Hf 0.058 0.981 0.317
3 Hf 0.187 0.417 0.551
4 Hf 0.317 0.058 0.981
5 Hf 0.417 0.551 0.187
6 Hf 0.449 0.813 0.583
7 Hf 0.551 0.187 0.417
8 Hf 0.583 0.449 0.813
9 Hf 0.683 0.942 0.019
10 Hf 0.813 0.583 0.449
11 Hf 0.942 0.019 0.683
12 Hf 0.981 0.317 0.058
13 Fe 0.000 0.000 0.000
14 Ge 0.128 0.642 0.315
15 Ge 0.315 0.128 0.642
16 Ge 0.358 0.685 0.872
17 Ge 0.642 0.315 0.128
18 Ge 0.685 0.872 0.358
19 Ge 0.872 0.358 0.685

Summary:
Crystal system: trigonal
Formation enthalpy at 0 K, eV per atom: -0.22
DFT total energy, hartree per atom: -0.30918
Spin magnetization, μB/atom: 0.00



(10)
# Tb4YTm

A relaxed structure of Tb4YTm (PBE, Alexandria via LeMat-Bulk).

Cell: 3.544 6.151 9.397 Å, 77.32 79.24 73.40°
Sites, in units of the cell vectors:
1 Tb 0.166 0.002 0.165
2 Tb 0.167 0.498 0.668
3 Tb 0.833 0.502 0.332
4 Tb 0.834 0.998 0.835
5 Y 0.500 0.000 0.500
6 Tm 0.500 0.500 0.000

Summary:
Crystal system: triclinic
Formation enthalpy at 0 K, eV per atom: 0.02
DFT total energy, hartree per atom: -0.17970
Distance to the lowest polymorph of the same formula, meV per atom: 0
Spin magnetization, μB/atom: 0.00



(11)
# TaTlCoSe3

A relaxed structure of TaTlCoSe3 (PBE, Alexandria via LeMat-Bulk).

Cell: 8.415 3.583 9.952 Å, 90.00 111.36 90.00°
Sites, in units of the cell vectors:
1 Ta 0.031 0.250 0.317
2 Ta 0.969 0.750 0.683
3 Tl 0.483 0.750 0.794
4 Tl 0.517 0.250 0.206
5 Co 0.025 0.750 0.109
6 Co 0.975 0.250 0.891
7 Se 0.166 0.250 0.613
8 Se 0.176 0.750 0.943
9 Se 0.258 0.750 0.333
10 Se 0.742 0.250 0.667
11 Se 0.824 0.250 0.057
12 Se 0.834 0.750 0.387

Summary:
ΔE_f (raw), eV/atom: -0.557
Crystal system: monoclinic
DFT total energy, hartree per atom: -0.21511
Spin magnetization, μB/atom: 0.16



(12)
# FeOs2Rh

A relaxed structure of FeOs2Rh (PBE, Alexandria via LeMat-Bulk).

Cell: 4.288 4.288 4.288 Å, 60.00 60.00 60.00°
Sites, in units of the cell vectors:
1 Fe 0.000 0.000 0.000
2 Os 0.250 0.250 0.250
3 Os 0.750 0.750 0.750
4 Rh 0.500 0.500 0.500

Summary:
Crystal system: cubic
Formation enthalpy at 0 K, eV per atom: 0.49
DFT total energy, hartree per atom: -0.33345
Distance to the lowest polymorph of the same formula, meV per atom: 416
Spin magnetization, μB/atom: 0.65